First-principles (GGA-PBE) data for BiAsRuBr2 after structural relaxation, as listed in Alexandria.

**E_tot**: -3.89 eV per atom
**Relative energy among the computed polymorphs**: 0 meV/atom
**Raw formation energy**: 0.34 eV per atom

Unit cell a=5.1019 b=5.1019 c=4.8065 alpha=90.00 beta=90.00 gamma=90.00
Last column: nearest neighbours and their distance in Å.
Space group P4/mmm (No. 123)
One atom of each set of equivalent atoms:
1 Bi 0.0000 0.0000 0.0000 x1  8 Br 3.50, 4 As 3.61
2 As 0.5000 0.5000 0.0000 x1  2 Ru 2.40
3 Ru 0.5000 0.5000 0.5000 x1  2 As 2.40, 4 Br 2.55
4 Br 0.0000 0.5000 0.5000 x2  2 Ru 2.55


First-principles (GGA-PBE) data for YCr2Hg after structural relaxation, as listed in Alexandria.

**E_tot**: -5.91 eV per atom
**Relative energy among the computed polymorphs**: 427 meV/atom
**ΔH_f (0 K)**: 0.598 eV/atom

Unit cell a=6.1533 b=9.7737 c=3.2077 alpha=90.00 beta=118.10 gamma=90.00
Last column: nearest neighbours and their distance in Å.
Space group C2/m (No. 12)
One atom of each set of equivalent atoms:
1 Y 0.0000 0.0000 0.0000 x2  4 Cr 2.93, 4 Hg 3.08-3.23, 2 Y 3.21
2 Cr 0.2500 0.2500 0.5000 x4  2 Hg 2.93, 2 Y 2.93, 6 Cr 3.08-3.23
3 Hg 0.0000 0.5000 0.0000 x2  4 Cr 2.93, 4 Y 3.08-3.23, 2 Hg 3.21


First-principles (GGA-PBE) data for PdBrN2F after structural relaxation, as listed in Alexandria.

**E_tot**: -3.86 eV per atom
**Relative energy among the computed polymorphs**: 0 meV/atom
**Raw formation energy**: 1.21 eV per atom

Unit cell a=4.1166 b=4.1166 c=4.1937 alpha=90.00 beta=90.00 gamma=90.00
Last column: nearest neighbours and their distance in Å.
Space group P4/mmm (No. 123)
One atom of each set of equivalent atoms:
1 Pd 0.0000 0.0000 0.0000 x1  4 N 2.06, 2 F 2.10
2 Br 0.5000 0.5000 0.5000 x1  4 F 2.91, 8 N 2.94
3 N 0.0000 0.5000 0.0000 x2  2 Pd 2.06
4 F 0.0000 0.0000 0.5000 x1  2 Pd 2.10


First-principles (GGA-PBE) data for Er5ZrCu4 after structural relaxation, as listed in Alexandria.

**E_tot**: -4.98 eV per atom
**ΔH_f (0 K)**: -0.205 eV/atom

Unit cell a=3.4002 b=3.4002 c=18.5725 alpha=90.00 beta=90.00 gamma=90.00
Last column: nearest neighbours and their distance in Å.
Space group P4/mmm (No. 123)
One atom of each set of equivalent atoms:
1 Er 0.0000 0.0000 0.0000 x1  8 Cu 2.97
2 Er 0.0000 0.0000 0.1881 x2  8 Cu 2.96-2.98
3 Er 0.0000 0.0000 0.3752 x2  4 Cu 2.97
4 Zr 0.5000 0.5000 0.5000 x1  8 Er 3.34, 4 Zr 3.40
5 Cu 0.5000 0.5000 0.0935 x2  8 Er 2.97-2.98
6 Cu 0.5000 0.5000 0.2811 x2  8 Er 2.96-2.97


First-principles (GGA-PBE) data for CePrF2 after structural relaxation, as listed in Alexandria.

**E_tot**: -6.14 eV per atom
**Raw formation energy**: -2.52 eV per atom

Unit cell a=4.0836 b=4.0836 c=19.1266 alpha=90.00 beta=90.00 gamma=120.00
Last column: nearest neighbours and their distance in Å.
Space group R-3m (No. 166, hexagonal axes)
One atom of each set of equivalent atoms:
1 Ce 0.0000 0.0000 0.0000 x3  6 F 2.45
2 Pr 0.0000 0.0000 0.5000 x3  2 F 2.51
3 F 0.0000 0.0000 0.3686 x6  3 Ce 2.45, 1 Pr 2.51, 3 F 2.72


First-principles (GGA-PBE) data for NdGe3Pd3 after structural relaxation, as listed in Alexandria.

**E_tot**: -5.36 eV per atom
**Relative energy among the computed polymorphs**: 6 meV/atom
**ΔH_f (0 K)**: -0.477 eV/atom

Unit cell a=8.9253 b=4.6081 c=8.9373 alpha=90.00 beta=119.91 gamma=90.00
Last column: nearest neighbours and their distance in Å.
Space group P2_1/m (No. 11)
One atom of each set of equivalent atoms:
1 Nd 0.1666 0.2500 0.3329 x2  9 Ge 3.18-3.38, 9 Pd 3.38-3.39
2 Ge 0.1034 0.2500 0.9499 x2  4 Pd 2.43-2.52
3 Ge 0.1525 0.7500 0.6023 x2  4 Pd 2.43-2.52
4 Ge 0.4503 0.7500 0.3460 x2  4 Pd 2.43-2.52
5 Pd 0.1216 0.2500 0.6871 x2  4 Ge 2.43-2.52
6 Pd 0.1870 0.7500 0.0658 x2  4 Ge 2.43-2.52
7 Pd 0.4334 0.7500 0.6197 x2  4 Ge 2.43-2.52


First-principles (GGA-PBE) data for CsYBr3 after structural relaxation, as listed in Alexandria.

**E_tot**: -4.09 eV per atom
**Raw formation energy**: -1.62 eV per atom

Unit cell a=5.6857 b=5.6857 c=5.6857 alpha=90.00 beta=90.00 gamma=90.00
Last column: nearest neighbours and their distance in Å.
Space group Pm-3m (No. 221)
One atom of each set of equivalent atoms:
1 Cs 0.0000 0.0000 0.0000 x1  12 Br 4.02
2 Y 0.5000 0.5000 0.5000 x1  6 Br 2.84
3 Br 0.0000 0.5000 0.5000 x3  2 Y 2.84


First-principles (GGA-PBE) data for TlIrCl after structural relaxation, as listed in Alexandria.

**E_tot**: -3.77 eV per atom
**Relative energy among the computed polymorphs**: 207 meV/atom
**Raw formation energy**: 0.59 eV per atom

Unit cell a=3.4405 b=3.4405 c=6.0611 alpha=90.00 beta=90.00 gamma=120.00
Last column: nearest neighbours and their distance in Å.
Space group P3m1 (No. 156)
One atom of each set of equivalent atoms:
1 Tl 0.0000 0.0000 0.0000 x1  3 Ir 2.74
2 Ir 0.6667 0.3333 0.6882 x1  3 Cl 2.70, 3 Tl 2.74
3 Cl 0.3333 0.6667 0.3870 x1  3 Ir 2.70


- Number 1 is which compound?
  BiAsRuBr2


- What is the formula in the eighth record?
  TlIrCl